[1]
Density functional theory data (PBE) for a geometry-optimized KBaSe2 structure.

a = 5.5632 Å, b = 5.5632 Å, c = 5.5632 Å
α = 60.00°, β = 60.00°, γ = 60.00°
Last column: nearest neighbours and their distance in Å.
Sites, in units of the cell vectors:
Ba  0.5000  0.5000  0.5000  4 K 3.41, 4 Se 3.41
K  0.7500  0.7500  0.7500  4 Ba 3.41, 4 Se 3.41
Se  0.0000  0.0000  0.0000  4 K 3.41, 4 Se 3.41
Se  0.2500  0.2500  0.2500  4 Ba 3.41, 4 Se 3.41

## Properties
- Formation energy from raw total energies: -0.7948 eV/atom
- N(E_F): 1.2385 states/eV per atom
- Symmetry: No. 216
- Calculated total energy: -13.17 eV for the cell shown
- Crystal system: cubic
- Total magnetic moment: 0.68 μB per formula unit



[2]
Density functional theory data (PBE) for a geometry-optimized CsNa3Si structure.

a = 5.8310 Å, b = 5.8310 Å, c = 5.8310 Å
α = 90.00°, β = 90.00°, γ = 90.00°
Last column: nearest neighbours and their distance in Å.
Sites, in units of the cell vectors:
Cs  0.5000  0.5000  0.5000  12 Na 4.12
Na  0.0000  0.5000  0.0000  2 Si 2.92
Na  0.0000  0.0000  0.5000  2 Si 2.92
Na  0.5000  0.0000  0.0000  2 Si 2.92
Si  0.0000  0.0000  0.0000  6 Na 2.92

## Properties
- Formation energy from raw total energies: 0.0931 eV/atom
- N(E_F): 0.0433 states/eV per atom
- Excess energy over the best structure of this formula in the dataset: 0 meV per atom
- Symmetry: No. 221
- Calculated total energy: -9.77 eV for the cell shown
- Crystal system: cubic
- Total magnetic moment: 0.00 μB per formula unit



[3]
Density functional theory data (PBE) for a geometry-optimized NpZnP2 structure.

a = 4.2030 Å, b = 4.2030 Å, c = 7.5112 Å
α = 73.75°, β = 73.75°, γ = 60.00°
Last column: nearest neighbours and their distance in Å.
Sites, in units of the cell vectors:
Np  0.5000  0.5000  0.5000  6 P 2.77
P  0.1045  0.1045  0.6865  1 Zn 2.23
P  0.8955  0.8955  0.3135  1 Zn 2.23
Zn  0.0000  0.0000  0.0000  2 P 2.23

## Properties
- N(E_F): 2.2931 states/eV per atom
- Excess energy over the best structure of this formula in the dataset: 277 meV per atom
- Symmetry: No. 166
- Calculated total energy: -25.74 eV for the cell shown
- Crystal system: trigonal
- Total magnetic moment: 3.00 μB per formula unit



[4]
Density functional theory data (PBE) for a geometry-optimized BaDyPtO4 structure.

a = 6.7004 Å, b = 7.0656 Å, c = 7.0151 Å
α = 119.76°, β = 90.00°, γ = 118.30°
Last column: nearest neighbours and their distance in Å.
Sites, in units of the cell vectors:
Ba  0.8549  0.7098  0.1049  4 O 2.42-2.60
Ba  0.1451  0.2902  0.8951  4 O 2.42-2.60
Dy  0.5000  0.0000  0.5000  6 O 2.25-2.38
Dy  0.5000  0.0000  0.0000  6 O 2.25-2.38
Pt  0.5000  0.5000  0.5000  4 O 2.11
Pt  0.0000  0.5000  0.5000  4 O 2.11
O  0.7265  0.4530  0.6570  2 Pt 2.11
O  0.2851  0.9918  0.2459  2 Dy 2.25, 1 Ba 2.42
O  0.7067  0.9918  0.2459  2 Dy 2.25, 1 Ba 2.42
O  0.7265  0.4530  0.2960  2 Pt 2.11
O  0.2735  0.5470  0.7040  2 Pt 2.11
O  0.7149  0.0082  0.7541  2 Dy 2.25, 1 Ba 2.42
O  0.2933  0.0082  0.7541  2 Dy 2.25, 1 Ba 2.42
O  0.2735  0.5470  0.3430  2 Pt 2.11

## Properties
- Formation energy from raw total energies: -2.0055 eV/atom
- Symmetry: No. 74
- Calculated total energy: -92.87 eV for the cell shown
- Crystal system: orthorhombic
- Total magnetic moment: 1.00 μB per formula unit



[5]
Density functional theory data (PBE) for a geometry-optimized EuDyCd2 structure.

a = 3.8309 Å, b = 3.8309 Å, c = 7.6941 Å
α = 90.00°, β = 90.00°, γ = 90.00°
Last column: nearest neighbours and their distance in Å.
Sites, in units of the cell vectors:
Eu  0.5000  0.5000  0.5000  8 Cd 3.43, 4 Eu 3.83
Cd  0.0000  0.0000  0.7733  4 Dy 3.22, 4 Eu 3.43, 1 Cd 3.49
Cd  0.0000  0.0000  0.2267  4 Dy 3.22, 4 Eu 3.43, 1 Cd 3.49
Dy  0.5000  0.5000  0.0000  8 Cd 3.22

## Properties
- N(E_F): 2.2911 states/eV per atom
- Symmetry: No. 123
- Calculated total energy: -18.03 eV for the cell shown
- Crystal system: tetragonal
- Total magnetic moment: 7.13 μB per formula unit



[6]
Density functional theory data (PBE) for a geometry-optimized NdGdTe structure.

a = 4.1993 Å, b = 5.1925 Å, c = 5.1925 Å
α = 120.00°, β = 90.00°, γ = 90.00°
Last column: nearest neighbours and their distance in Å.
Sites, in units of the cell vectors:
Te  0.3047  0.3333  0.6667  3 Gd 3.12, 3 Nd 3.23
Gd  0.1015  0.0000  0.0000  3 Te 3.12
Nd  0.5938  0.6667  0.3333  3 Te 3.23

## Properties
- Formation energy from raw total energies: -0.5319 eV/atom
- N(E_F): 1.2133 states/eV per atom
- Excess energy over the best structure of this formula in the dataset: 265 meV per atom
- Symmetry: No. 156
- Calculated total energy: -23.59 eV for the cell shown
- Crystal system: trigonal
- Total magnetic moment: 7.37 μB per formula unit



[7]
Density functional theory data (PBE) for a geometry-optimized Ce8SiTe4As3 structure.

a = 8.6444 Å, b = 8.7968 Å, c = 8.6440 Å
α = 119.43°, β = 120.00°, γ = 90.00°
Last column: nearest neighbours and their distance in Å.
Sites, in units of the cell vectors:
Ce  0.2401  0.7240  0.9839  1 Si 2.96, 2 As 2.98, 3 Te 3.19-3.21
Ce  0.2401  0.7238  0.4803  1 Si 2.96, 2 As 2.98, 3 Te 3.19-3.21
Ce  0.2584  0.2752  0.5169  3 As 2.98, 3 Te 3.19
Ce  0.7438  0.7240  0.9839  1 Si 2.96, 2 As 2.98, 3 Te 3.19-3.21
Ce  0.2562  0.2760  0.0161  1 Si 2.96, 2 As 2.98, 3 Te 3.19-3.21
Ce  0.7416  0.7248  0.4831  3 As 2.98, 3 Te 3.19
Ce  0.7599  0.2762  0.5197  1 Si 2.96, 2 As 2.98, 3 Te 3.19-3.21
Ce  0.7599  0.2760  0.0161  1 Si 2.96, 2 As 2.98, 3 Te 3.19-3.21
Si  0.0000  0.5000  0.0000  6 Ce 2.96
Te  0.5000  0.0000  0.0000  6 Ce 3.21
Te  0.5000  0.0000  0.5000  6 Ce 3.19
Te  0.0000  0.0000  0.0000  6 Ce 3.19
Te  0.0000  0.0000  0.5000  6 Ce 3.19
As  0.5000  0.5000  0.0000  6 Ce 2.98
As  0.5000  0.5000  0.5000  6 Ce 2.98
As  0.0000  0.5000  0.5000  6 Ce 2.98

## Properties
- Formation energy from raw total energies: -1.3202 eV/atom
- N(E_F): 3.0769 states/eV per atom
- Symmetry: No. 166
- Calculated total energy: -100.53 eV for the cell shown
- Crystal system: trigonal
- Total magnetic moment: 7.71 μB per formula unit



[8]
Density functional theory data (PBE) for a geometry-optimized Ca2SbTeF structure.

a = 4.7678 Å, b = 5.7510 Å, c = 4.7678 Å
α = 90.00°, β = 90.00°, γ = 90.00°
Last column: nearest neighbours and their distance in Å.
Sites, in units of the cell vectors:
Sb  0.0000  0.5000  0.0000  2 F 2.88
Ca  0.0000  0.0000  0.5000  2 F 2.38
Ca  0.5000  0.0000  0.0000  2 F 2.38
Te  0.5000  0.5000  0.5000  4 Sb 3.37, 8 Ca 3.74
F  0.0000  0.0000  0.0000  4 Ca 2.38

## Properties
- Formation energy from raw total energies: -1.2028 eV/atom
- N(E_F): 0.5235 states/eV per atom
- Symmetry: No. 123
- Calculated total energy: -19.15 eV for the cell shown
- Crystal system: tetragonal
- Total magnetic moment: 0.00 μB per formula unit